# 1
Compound: Pm2TlHg6
Source: the Alexandria database
Functional: PBE-GGA
Structure: optimized geometry

abc: 15.2871 8.8301 3.4662
angles: 90.00 90.20 90.00
Closest atoms and distances in Å follow each position.
Space group C2/m (No. 12)
Unique sites:
Pm  0.1666  0.0000  0.0003 (multiplicity 4)  12 Hg 3.41-3.42, 2 Pm 3.47
Tl  0.0000  0.5000  0.0000 (multiplicity 2)  12 Hg 3.40-3.42, 2 Tl 3.47
Hg  0.0000  0.1672  0.5000 (multiplicity 4)  3 Hg 2.94-2.95
Hg  0.1664  0.3336  0.4975 (multiplicity 8)  3 Hg 2.94-2.95

Results
Spin magnetization in μB per atom: 0.0004
Total DFT energy (no corrections) in eV per atom: -1.783
Formation energy from the elements in eV/f.u.: -2.364

# 2
Compound: TaRe2Ir
Source: the Alexandria database
Functional: PBE-GGA
Structure: optimized geometry

abc: 3.9617 3.9617 7.9309
angles: 90.00 90.00 90.00
Closest atoms and distances in Å follow each position.
Space group I-4m2 (No. 119)
Unique sites:
Ta  0.0000  0.0000  0.0000 (multiplicity 2)  8 Re 2.80, 4 Ir 2.80
Re  0.0000  0.0000  0.5000 (multiplicity 2)  4 Ta 2.80, 4 Re 2.80, 4 Ir 2.80
Re  0.0000  0.5000  0.7500 (multiplicity 2)  4 Ir 2.80, 4 Ta 2.80, 4 Re 2.80
Ir  0.0000  0.5000  0.2500 (multiplicity 2)  8 Re 2.80, 4 Ta 2.80

Results
Spin magnetization in μB per atom: 0.0000
Total DFT energy (no corrections) in eV per atom: -11.582
Formation energy from the elements in eV/f.u.: -0.717

# 3
Compound: Ac2Pm5Nd12
Source: the Alexandria database
Functional: PBE-GGA
Structure: optimized geometry

abc: 18.5639 11.9472 6.3762
angles: 90.00 103.55 90.00
Closest atoms and distances in Å follow each position.
Space group C2/m (No. 12)
Unique sites:
Ac  0.0000  0.2226  0.0000 (multiplicity 4)  10 Nd 3.52-3.90
Pm  0.0000  0.0000  0.5000 (multiplicity 2)  6 Nd 3.45-3.54
Pm  0.1721  0.5000  0.8571 (multiplicity 4)  7 Nd 3.48-3.80, 1 Pm 3.65
Pm  0.2152  0.0000  0.5403 (multiplicity 4)  8 Nd 3.51-3.72, 2 Pm 3.65-3.92
Nd  0.0592  0.5000  0.2827 (multiplicity 4)  4 Nd 3.60-3.92, 2 Pm 3.77-3.80, 2 Ac 3.81
Nd  0.1036  0.2507  0.6053 (multiplicity 8)  3 Pm 3.48-3.72, 6 Nd 3.49-3.84, 1 Ac 3.52
Nd  0.1298  0.0000  0.9865 (multiplicity 4)  4 Pm 3.45-3.58, 4 Nd 3.49-3.82, 2 Ac 3.60
Nd  0.2033  0.2553  0.2046 (multiplicity 8)  6 Nd 3.46-3.84, 3 Pm 3.51-3.70, 1 Ac 3.71

Results
Spin magnetization in μB per atom: 0.0000
Total DFT energy (no corrections) in eV per atom: -4.595
Formation energy from the elements in eV/f.u.: 1.886